1.
Here is a relaxed structure of ErZrGa2 from Alexandria via LeMat-Bulk. Energies are from PBE.

abc: 4.8803 4.8803 4.8803
angles: 60.00 60.00 60.00
Closest atoms and distances in Å follow each position.
Atoms (fractional coordinates):
Ga: 0.2500 0.2500 0.2500  4 Zr 2.99, 4 Er 2.99
Ga: 0.7500 0.7500 0.7500  4 Er 2.99, 4 Zr 2.99
Zr: 0.5000 0.5000 0.5000  8 Ga 2.99
Er: 0.0000 0.0000 0.0000  8 Ga 2.99

For the energy of formation, the calculation gives -0.446 eV per atom. As for the energy above the most stable polymorph in this dataset: 0.139 eV/atom.

***

2.
Here is a relaxed structure of YReSb4 from Alexandria via LeMat-Bulk. Energies are from PBE.

abc: 6.0818 6.0818 6.0818
angles: 60.00 60.00 60.00
Closest atoms and distances in Å follow each position.
Atoms (fractional coordinates):
Y: 0.7500 0.7500 0.7500  12 Sb 3.57, 4 Re 3.72
Re: 0.0000 0.0000 0.0000  12 Sb 3.56, 4 Y 3.72
Sb: 0.8761 0.3746 0.3746  6 Sb 3.03-3.05
Sb: 0.3746 0.3746 0.8761  6 Sb 3.03-3.05
Sb: 0.3746 0.8761 0.3746  6 Sb 3.03-3.05
Sb: 0.3746 0.3746 0.3746  6 Sb 3.03-3.05

As for the uncorrected formation energy: 0.78 eV/atom.

***

3.
Here is a relaxed structure of Sm4Y11Ho9 from Alexandria via LeMat-Bulk. Energies are from PBE.

abc: 3.6964 15.0812 15.0812
angles: 112.79 90.00 90.00
Closest atoms and distances in Å follow each position.
Atoms (fractional coordinates):
Sm: 0.5000 0.5538 0.7551  6 Y 3.27-3.39, 3 Ho 3.49-3.61
Sm: 0.5000 0.4462 0.2449  6 Y 3.27-3.39, 3 Ho 3.49-3.61
Sm: 0.5000 0.7551 0.5538  6 Y 3.27-3.39, 3 Ho 3.49-3.61
Sm: 0.5000 0.2449 0.4462  6 Y 3.27-3.39, 3 Ho 3.49-3.61
Y: 0.0000 0.5932 0.9553  2 Sm 3.39, 6 Ho 3.49-3.68, 3 Y 3.56-3.70
Y: 0.0000 0.4068 0.0447  2 Sm 3.39, 6 Ho 3.49-3.68, 3 Y 3.56-3.70
Y: 0.0000 0.9553 0.5932  2 Sm 3.39, 6 Ho 3.49-3.68, 3 Y 3.56-3.70
Y: 0.0000 0.0447 0.4068  2 Sm 3.39, 6 Ho 3.49-3.68, 3 Y 3.56-3.70
Y: 0.0000 0.6343 0.3657  4 Sm 3.28, 4 Ho 3.56
Y: 0.0000 0.3657 0.6343  4 Sm 3.28, 4 Ho 3.56
Y: 0.0000 0.8407 0.1593  8 Ho 3.65-3.70, 5 Y 3.70-4.00
Y: 0.0000 0.1593 0.8407  8 Ho 3.65-3.70, 5 Y 3.70-4.00
Y: 0.0000 0.0000 0.0000  8 Ho 3.50, 2 Y 3.70
Y: 0.0000 0.7102 0.7102  4 Sm 3.27, 4 Ho 3.60
Y: 0.0000 0.2898 0.2898  4 Sm 3.27, 4 Ho 3.60
Ho: 0.5000 0.6335 0.1635  3 Ho 3.39-3.70, 8 Y 3.49-3.68, 1 Sm 3.49
Ho: 0.5000 0.3665 0.8365  3 Ho 3.39-3.70, 8 Y 3.49-3.68, 1 Sm 3.49
Ho: 0.5000 0.1635 0.6335  3 Ho 3.39-3.70, 8 Y 3.49-3.68, 1 Sm 3.49
Ho: 0.5000 0.8365 0.3665  3 Ho 3.39-3.70, 8 Y 3.49-3.68, 1 Sm 3.49
Ho: 0.5000 0.7872 0.9322  8 Y 3.50-3.70, 1 Sm 3.50, 3 Ho 3.64-3.70
Ho: 0.5000 0.2128 0.0678  8 Y 3.50-3.70, 1 Sm 3.50, 3 Ho 3.64-3.70
Ho: 0.5000 0.9322 0.7872  8 Y 3.50-3.70, 1 Sm 3.50, 3 Ho 3.64-3.70
Ho: 0.5000 0.0678 0.2128  8 Y 3.50-3.70, 1 Sm 3.50, 3 Ho 3.64-3.70
Ho: 0.5000 0.5000 0.5000  4 Sm 3.61, 2 Ho 3.70, 8 Y 3.85-3.97

For the energy of formation, the calculation gives 0.054 eV per atom.

***

4.
Here is a relaxed structure of La2Pm3PrEr6 from Alexandria via LeMat-Bulk. Energies are from PBE.

abc: 6.2587 6.2587 11.7932
angles: 95.07 95.07 119.99
Closest atoms and distances in Å follow each position.
Atoms (fractional coordinates):
La: 0.3333 0.6667 0.0000  6 Er 3.60, 3 La 3.61, 3 Pr 3.61
La: 0.6667 0.3333 0.0000  6 Er 3.60, 3 La 3.61, 3 Pr 3.61
Pm: 0.1665 0.8335 0.5000  6 Er 3.55, 6 Pm 3.61-3.62
Pm: 0.8335 0.1665 0.5000  6 Er 3.55, 6 Pm 3.61-3.62
Pm: 0.5000 0.5000 0.5000  6 Er 3.55, 6 Pm 3.61-3.62
Pr: 0.0000 0.0000 0.0000  6 Er 3.59-3.60, 6 La 3.61
Er: 0.9157 0.5829 0.7474  3 Pm 3.55, 1 Pr 3.60, 2 La 3.60, 6 Er 3.61-3.62
Er: 0.7515 0.7515 0.2525  3 Pm 3.55, 1 Pr 3.59, 2 La 3.60, 6 Er 3.61-3.62
Er: 0.0843 0.4171 0.2526  3 Pm 3.55, 1 Pr 3.60, 2 La 3.60, 6 Er 3.61-3.62
Er: 0.5829 0.9157 0.7474  3 Pm 3.55, 1 Pr 3.60, 2 La 3.60, 6 Er 3.61-3.62
Er: 0.2485 0.2485 0.7475  3 Pm 3.55, 1 Pr 3.59, 2 La 3.60, 6 Er 3.61-3.62
Er: 0.4171 0.0843 0.2526  3 Pm 3.55, 1 Pr 3.60, 2 La 3.60, 6 Er 3.61-3.62

For the energy of formation, the calculation gives 0.015 eV per atom.

***

5.
Here is a relaxed structure of BeTlW2 from Alexandria via LeMat-Bulk. Energies are from PBE.

abc: 3.2844 4.3730 4.5339
angles: 90.00 90.00 90.00
Closest atoms and distances in Å follow each position.
Atoms (fractional coordinates):
Be: 0.5000 0.0000 0.5000  4 Tl 2.73, 4 W 2.80
Tl: 0.0000 0.5000 0.5000  4 Be 2.73, 4 W 2.80
W: 0.0000 0.0000 0.0000  4 W 2.73, 4 Be 2.80
W: 0.5000 0.5000 0.0000  4 W 2.73, 4 Tl 2.80

For the energy of formation, the calculation gives 0.802 eV per atom. As for the energy above the most stable polymorph in this dataset: 0.281 eV/atom.

***

6.
Here is a relaxed structure of TbNdCuHg from Alexandria via LeMat-Bulk. Energies are from PBE.

abc: 5.2061 5.2061 5.2061
angles: 60.00 60.00 60.00
Closest atoms and distances in Å follow each position.
Atoms (fractional coordinates):
Nd: 0.7500 0.7500 0.7500  4 Cu 3.19, 4 Hg 3.19
Tb: 0.2500 0.2500 0.2500  4 Hg 3.19, 4 Cu 3.19
Hg: 0.0000 0.0000 0.0000  4 Nd 3.19, 4 Tb 3.19
Cu: 0.5000 0.5000 0.5000  4 Tb 3.19, 4 Nd 3.19

For the energy of formation, the calculation gives -0.297 eV per atom. As for the energy above the most stable polymorph in this dataset: 0.026 eV/atom.

***

7.
Here is a relaxed structure of Ta2OsW from Alexandria via LeMat-Bulk. Energies are from PBE.

abc: 2.9396 2.9396 7.8982
angles: 90.00 90.00 90.00
Closest atoms and distances in Å follow each position.
Atoms (fractional coordinates):
Os: 0.5000 0.5000 0.7360  4 W 2.66, 4 Ta 2.84, 4 Os 2.94
Ta: 0.0000 0.0000 0.9801  4 Os 2.84, 8 Ta 2.94-3.02
Ta: 0.5000 0.5000 0.2577  8 Ta 2.94-3.02, 4 W 2.97
W: 0.0000 0.0000 0.5262  4 Os 2.66, 4 W 2.94, 4 Ta 2.97

For the energy of formation, the calculation gives 0.035 eV per atom. As for the energy above the most stable polymorph in this dataset: 0.334 eV/atom.

***

8.
Here is a relaxed structure of SnBiPbBr from Alexandria via LeMat-Bulk. Energies are from PBE.

abc: 5.5332 5.5332 5.5332
angles: 60.00 60.00 60.00
Closest atoms and distances in Å follow each position.
Atoms (fractional coordinates):
Pb: 0.7500 0.7500 0.7500  4 Br 3.39, 4 Bi 3.39
Bi: 0.5000 0.5000 0.5000  4 Pb 3.39, 4 Sn 3.39
Br: 0.0000 0.0000 0.0000  4 Pb 3.39, 4 Sn 3.39
Sn: 0.2500 0.2500 0.2500  4 Bi 3.39, 4 Br 3.39

As for the uncorrected formation energy: -0.16 eV/atom.

***

9.
Here is a relaxed structure of Pm4Ge8Rh from Alexandria via LeMat-Bulk. Energies are from PBE.

abc: 4.0889 4.2260 16.6533
angles: 90.00 90.00 90.00
Closest atoms and distances in Å follow each position.
Atoms (fractional coordinates):
Pm: 0.0000 0.0000 0.1015  10 Ge 3.02-3.33
Pm: 0.0000 0.5000 0.6082  10 Ge 3.06-3.23
Pm: 0.5000 0.5000 0.3985  10 Ge 3.12-3.45, 4 Rh 3.26
Pm: 0.5000 0.0000 0.8950  10 Ge 3.06-3.28
Ge: 0.0000 0.0000 0.4614  1 Rh 2.45, 2 Ge 2.60
Ge: 0.0000 0.5000 0.9467  2 Ge 2.63
Ge: 0.5000 0.5000 0.0457  2 Ge 2.63
Ge: 0.5000 0.0000 0.5576  2 Ge 2.60
Ge: 0.0000 0.5000 0.2362  2 Rh 2.48
Ge: 0.0000 0.0000 0.7492  4 Ge 2.94, 4 Pm 3.16-3.17
Ge: 0.5000 0.0000 0.2348  2 Rh 2.43
Ge: 0.5000 0.5000 0.7542  4 Ge 2.94, 4 Pm 3.16-3.18
Rh: 0.0000 0.0000 0.3141  5 Ge 2.43-2.48

For the energy of formation, the calculation gives -0.667 eV per atom.

***

10.
Here is a relaxed structure of KInSn2Te4 from Alexandria via LeMat-Bulk. Energies are from PBE.

abc: 4.5591 8.2338 16.1662
angles: 90.00 90.00 106.07
Closest atoms and distances in Å follow each position.
Atoms (fractional coordinates):
K: 0.1239 0.2478 0.7500  6 Te 3.61-3.67
K: 0.8761 0.7522 0.2500  6 Te 3.61-3.67
In: 0.8371 0.6741 0.7500  4 Te 2.78-2.87
In: 0.1629 0.3259 0.2500  4 Te 2.78-2.87
Sn: 0.3747 0.7494 0.5542  6 Te 3.15-3.37
Sn: 0.6253 0.2506 0.0542  6 Te 3.15-3.37
Sn: 0.6253 0.2506 0.4458  6 Te 3.15-3.37
Sn: 0.3747 0.7494 0.9458  6 Te 3.15-3.37
Te: 0.2648 0.5296 0.1098  1 In 2.78
Te: 0.7352 0.4704 0.6098  1 In 2.78
Te: 0.7352 0.4704 0.8902  1 In 2.78
Te: 0.2648 0.5296 0.3902  1 In 2.78
Te: 0.0000 0.0000 0.5000  4 Sn 3.15
Te: 0.0000 0.0000 0.0000  4 Sn 3.15
Te: 0.4468 0.8935 0.7500  2 In 2.87
Te: 0.5532 0.1065 0.2500  2 In 2.87

As for the uncorrected formation energy: -0.41 eV/atom.

***

11.
Here is a relaxed structure of Tl2Pb5F12 from Alexandria via LeMat-Bulk. Energies are from PBE.

abc: 6.5971 7.6507 9.0282
angles: 103.59 90.00 115.54
Closest atoms and distances in Å follow each position.
Atoms (fractional coordinates):
Tl: 0.7639 0.0000 0.0000  6 F 2.69-2.85
Tl: 0.2361 0.0000 0.0000  6 F 2.69-2.85
Pb: 0.3074 0.6147 0.6498  3 F 2.32-2.39
Pb: 0.3303 0.6607 0.2246  5 F 2.41-2.55
Pb: 0.0000 0.0000 0.5000  6 F 2.40-2.61
Pb: 0.6697 0.3393 0.7754  5 F 2.41-2.55
Pb: 0.6926 0.3853 0.3502  3 F 2.32-2.39
F: 0.9684 0.9368 0.2254  1 Pb 2.40, 2 Tl 2.69
F: 0.0488 0.6068 0.8372  2 Pb 2.39-2.41
F: 0.5579 0.6068 0.8372  2 Pb 2.39-2.41
F: 0.1264 0.7137 0.4409  3 Pb 2.43-2.65
F: 0.5873 0.7137 0.4409  3 Pb 2.43-2.65
F: 0.4805 0.9609 0.7436  2 Pb 2.32-2.55
F: 0.5195 0.0391 0.2564  2 Pb 2.32-2.55
F: 0.8736 0.2863 0.5591  3 Pb 2.43-2.65
F: 0.4127 0.2863 0.5591  3 Pb 2.43-2.65
F: 0.9512 0.3932 0.1628  2 Pb 2.39-2.41
F: 0.4421 0.3932 0.1628  2 Pb 2.39-2.41
F: 0.0316 0.0632 0.7746  1 Pb 2.40, 2 Tl 2.69

As for the uncorrected formation energy: -2.17 eV/atom.

***

12.
Here is a relaxed structure of Li3Ag2Pd from Alexandria via LeMat-Bulk. Energies are from PBE.

abc: 3.0182 3.0182 9.9750
angles: 90.00 90.00 90.00
Closest atoms and distances in Å follow each position.
Atoms (fractional coordinates):
Li: 0.0000 0.0000 0.0000  8 Ag 2.76, 4 Li 3.02
Li: 0.0000 0.0000 0.6490  4 Pd 2.60, 4 Ag 2.76
Li: 0.0000 0.0000 0.3510  4 Pd 2.60, 4 Ag 2.76
Ag: 0.5000 0.5000 0.8239  8 Li 2.76, 4 Ag 3.02
Ag: 0.5000 0.5000 0.1761  8 Li 2.76, 4 Ag 3.02
Pd: 0.5000 0.5000 0.5000  8 Li 2.60

For the energy of formation, the calculation gives -0.287 eV per atom. As for the energy above the most stable polymorph in this dataset: 0.003 eV/atom.

***

DFT total energy (computed, eV/atom): -5.238, -5.121, -5.412, -4.673, -7.198, -3.746, -11.937, -3.478, -5.535, -3.463, -4.581, -3.060
Total moment (computed, μB per formula unit): 0.00, 2.62, 0.40, 0.00, 0.00, 0.00, 0.00, 0.00, 0.00, 0.00, 0.00, 0.00
Calculated density (computed, g/cm3): 8.04, 7.96, 6.56, 7.83, 14.82, 9.44, 17.91, 8.52, 7.29, 5.14, 7.00, 6.27